ScTi2Al2 | GGA-PBE | relaxed

Cell: 7.5178 7.5178 3.1950 Å, 90.00 90.00 90.00°
With the nearest neighbours (Å) after each atom.
Space group P4/mbm (No. 127)
Symmetry-distinct sites (fractional):
1 Sc 0.0000 0.0000 0.0000  4 Al 2.98, 2 Sc 3.19, 8 Ti 3.20
2 Ti 0.1746 0.3254 0.5000  6 Al 2.68-2.78
3 Al 0.1228 0.6228 0.0000  1 Al 2.61, 6 Ti 2.68-2.78

* theoretical density: 3.58 g/cm3
* energy relative to the elements: -1.44 eV per formula unit
* spin magnetization: 0.0 μB/f.u.